1.
## SrMg5Ga3 (PBE-GGA)

Data for a relaxed structure of SrMg5Ga3.

Computed properties:
E_tot: -2.266 eV/atom
Space-group type: Cmcm (63)

Cell and atoms, written as POSCAR:
```
SrMg5Ga3
1.0
2.213 -7.155 0.000
2.213 7.155 0.000
0.000 0.000 13.669
Sr Mg Ga
2 10 6
direct
0.158 0.842 0.750
0.842 0.158 0.250
0.000 0.000 0.000
0.000 0.000 0.500
0.198 0.802 0.057
0.198 0.802 0.443
0.435 0.565 0.644
0.435 0.565 0.856
0.565 0.435 0.144
0.565 0.435 0.356
0.802 0.198 0.557
0.802 0.198 0.943
0.135 0.865 0.250
0.388 0.612 0.061
0.388 0.612 0.439
0.612 0.388 0.561
0.612 0.388 0.939
0.865 0.135 0.750
```

---

2.
## Sr2Mg3Ga2 (PBE-GGA)

Data for a relaxed structure of Sr2Mg3Ga2.

Computed properties:
E_tot: -2.284 eV/atom
Space-group type: C2/m (12)

Cell and atoms, written as POSCAR:
```
Sr2Mg3Ga2
1.0
11.716 0.000 0.000
0.000 4.617 0.000
-3.478 0.000 7.094
Sr Mg Ga
4 6 4
direct
0.141 0.000 0.276
0.359 0.500 0.724
0.641 0.500 0.276
0.859 0.000 0.724
0.000 0.500 0.500
0.133 0.500 0.930
0.367 0.000 0.070
0.500 0.000 0.500
0.633 0.000 0.930
0.867 0.500 0.070
0.145 0.000 0.710
0.355 0.500 0.290
0.645 0.500 0.710
0.855 0.000 0.290
```

---

3.
## SrMgGa (PBE-GGA)

Data for a relaxed structure of SrMgGa.

Computed properties:
E_tot: -2.435 eV/atom
Space-group type: P4/nmm (129)

Cell and atoms, written as POSCAR:
```
SrMgGa
1.0
4.642 0.000 0.000
0.000 4.642 0.000
0.000 0.000 7.855
Sr Mg Ga
2 2 2
direct
0.250 0.250 0.160
0.750 0.750 0.840
0.250 0.750 0.500
0.750 0.250 0.500
0.250 0.250 0.718
0.750 0.750 0.282
```

---

4.
## SrMg2Ga4 (PBE-GGA)

Data for a relaxed structure of SrMg2Ga4.

Computed properties:
E_tot: -2.707 eV/atom
Space-group type: Immm (71)

Cell and atoms, written as POSCAR:
```
SrMg2Ga4
1.0
4.238 0.000 0.000
0.000 4.413 0.000
0.000 0.000 17.174
Sr Mg Ga
2 4 8
direct
0.000 0.000 0.000
0.500 0.500 0.500
0.000 0.500 0.315
0.000 0.500 0.685
0.500 0.000 0.185
0.500 0.000 0.815
0.000 0.000 0.425
0.000 0.000 0.575
0.000 0.500 0.156
0.000 0.500 0.844
0.500 0.000 0.344
0.500 0.000 0.656
0.500 0.500 0.075
0.500 0.500 0.925
```

---

5.
## SrMg2Ga6 (PBE-GGA)

Data for a relaxed structure of SrMg2Ga6.

Computed properties:
E_tot: -2.744 eV/atom
Space-group type: P6/mmm (191)

Cell and atoms, written as POSCAR:
```
SrMg2Ga6
1.0
7.893 0.000 0.000
-3.947 6.836 0.000
0.000 0.000 3.503
Sr Mg Ga
1 2 6
direct
0.000 0.000 0.000
0.333 0.667 0.000
0.667 0.333 0.000
0.000 0.341 0.500
0.000 0.659 0.500
0.341 0.000 0.500
0.341 0.341 0.500
0.659 0.000 0.500
0.659 0.659 0.500
```

---

6.
## SrMgGa2Tc (PBE-GGA)

Data for a relaxed structure of SrMgGa2Tc.

Computed properties:
E_tot: -4.121 eV/atom
Space-group type: P4/mmm (123)

Cell and atoms, written as POSCAR:
```
SrMgGa2Tc
1.0
4.897 0.000 0.000
0.000 4.897 0.000
0.000 0.000 5.043
Sr Mg Ga Tc
1 1 2 1
direct
0.000 0.000 0.000
0.500 0.500 0.000
0.000 0.500 0.500
0.500 0.000 0.500
0.500 0.500 0.500
```

---

7.
## SrTmMgGa (PBE-GGA)

Data for a relaxed structure of SrTmMgGa.

Computed properties:
E_tot: -2.876 eV/atom
Space-group type: F-43m (216)

Cell and atoms, written as POSCAR:
```
SrTmMgGa
1.0
7.599 0.000 0.000
0.000 7.599 0.000
0.000 0.000 7.599
Sr Tm Mg Ga
4 4 4 4
direct
0.000 0.000 0.000
0.000 0.500 0.500
0.500 0.000 0.500
0.500 0.500 0.000
0.000 0.000 0.500
0.000 0.500 0.000
0.500 0.000 0.000
0.500 0.500 0.500
0.250 0.250 0.250
0.250 0.750 0.750
0.750 0.250 0.750
0.750 0.750 0.250
0.250 0.250 0.750
0.250 0.750 0.250
0.750 0.250 0.250
0.750 0.750 0.750
```

---

8.
## Sr2Mg4Zn3Ga (PBE-GGA)

Data for a relaxed structure of Sr2Mg4Zn3Ga.

Computed properties:
E_tot: -1.819 eV/atom
Space-group type: P-4m2 (115)

Cell and atoms, written as POSCAR:
```
Sr2Mg4Zn3Ga
1.0
4.531 0.000 0.000
0.000 4.531 0.000
0.000 0.000 12.037
Sr Mg Zn Ga
2 4 3 1
direct
0.000 0.500 0.245
0.500 0.000 0.755
0.000 0.000 0.500
0.000 0.500 0.870
0.500 0.000 0.130
0.500 0.500 0.500
0.000 0.000 0.000
0.000 0.500 0.643
0.500 0.000 0.357
0.500 0.500 0.000
```

---

9.
## SrMg2ZnGa4 (PBE-GGA)

Data for a relaxed structure of SrMg2ZnGa4.

Computed properties:
E_tot: -2.469 eV/atom
Space-group type: R-3m (166)

Cell and atoms, written as POSCAR:
```
SrMg2ZnGa4
1.0
2.365 1.365 9.081
-2.365 1.365 9.081
0.000 -2.731 9.081
Sr Mg Zn Ga
1 2 1 4
direct
0.000 0.000 0.000
0.236 0.236 0.236
0.764 0.764 0.764
0.500 0.500 0.500
0.127 0.127 0.127
0.403 0.403 0.403
0.597 0.597 0.597
0.873 0.873 0.873
```

---

10.
## Sr2MgZnGa (PBE-GGA)

Data for a relaxed structure of Sr2MgZnGa.

Computed properties:
E_tot: -1.869 eV/atom
Space-group type: P4/mmm (123)

Cell and atoms, written as POSCAR:
```
Sr2MgZnGa
1.0
6.072 0.000 0.000
0.000 6.072 0.000
0.000 0.000 4.652
Sr Mg Zn Ga
2 1 1 1
direct
0.000 0.500 0.000
0.500 0.000 0.000
0.000 0.000 0.500
0.500 0.500 0.000
0.500 0.500 0.500
```

---

11.
## SrMg2ZnGa (PBE-GGA)

Data for a relaxed structure of SrMg2ZnGa.

Computed properties:
E_tot: -1.676 eV/atom
Space-group type: P4/mmm (123)

Cell and atoms, written as POSCAR:
```
SrMg2ZnGa
1.0
5.095 0.000 0.000
0.000 5.095 0.000
0.000 0.000 6.148
Sr Mg Zn Ga
1 2 1 1
direct
0.000 0.000 0.000
0.000 0.500 0.500
0.500 0.000 0.500
0.500 0.500 0.000
0.000 0.000 0.500
```

---

12.
## Sr2Mg12Zn3Ga (PBE-GGA)

Data for a relaxed structure of Sr2Mg12Zn3Ga.

Computed properties:
E_tot: -1.526 eV/atom
Space-group type: R-3m (166)

Cell and atoms, written as POSCAR:
```
Sr2Mg12Zn3Ga
1.0
3.671 2.120 10.335
-3.671 2.120 10.335
0.000 -4.239 10.335
Sr Mg Zn Ga
2 12 3 1
direct
0.145 0.145 0.145
0.855 0.855 0.855
0.092 0.092 0.684
0.092 0.684 0.092
0.138 0.579 0.579
0.316 0.908 0.908
0.421 0.421 0.862
0.421 0.862 0.421
0.579 0.138 0.579
0.579 0.579 0.138
0.684 0.092 0.092
0.862 0.421 0.421
0.908 0.316 0.908
0.908 0.908 0.316
0.000 0.500 0.500
0.500 0.000 0.500
0.500 0.500 0.000
0.500 0.500 0.500
```